OsPt2Rh, optimized geometry, DFT PBE-GGA; size of the total moment = 0.0 μB/f.u.; total energy = -7.551 eV/atom; symmetry = P2/m; formation energy from the elements = 0.1146 eV per atom; E above lowest polymorph = 136 meV/atom
1.0
-1.6200 -2.1977 -0.2839
3.5006 -2.2758 -2.3583
2.7723 -2.4442 3.1015
Os Pt Rh
1 2 1
Direct
0.0000 0.5000 0.5000
0.0000 0.0000 0.0000
0.5000 0.0000 0.5000
0.5000 0.5000 0.0000